VASP calculation (GGA-PBE) on an optimized crystal structure of Ba3Y3ErS8.

Geometry as extended XYZ:
```
15
Lattice="8.1023 0.0022 0.0008 -4.0493 7.0109 -0.0244 -0.0005 -4.6476 7.2818" Properties=species:S:1:pos:R:3 pbc="T T T"
Ba 0.0000 0.0000 0.0000
Ba -2.0246 3.5054 -0.0122
Ba 2.0265 3.5065 -0.0118
Y 4.0509 -2.3227 3.6413
Y 2.0263 1.1827 3.6291
Y -2.0249 1.1817 3.6287
Er -0.0002 -2.3238 3.6409
S 0.0005 2.3455 2.0935
S 4.0520 0.0199 5.1647
S 4.0520 2.3669 2.1308
S 0.0006 -0.0014 5.1274
S 6.0929 -1.1682 2.1416
S -2.0404 3.5337 5.1166
S 2.0079 -1.1700 2.1417
S 2.0447 3.5355 5.1165
```

Calculated values
SG: No. 12
Crystal system: monoclinic
Formation energy (no corrections): -2.07 eV per atom
V: 412.8 Å³/f.u.

=====

VASP calculation (GGA-PBE) on an optimized crystal structure of PuTl2ZnSb2.

Geometry as extended XYZ:
```
12
Lattice="4.5895 0.0000 0.0000 0.0000 7.0731 0.0000 0.0000 0.0000 10.7859" Properties=species:S:1:pos:R:3 pbc="T T T"
Pu 0.0000 0.0152 5.5955
Pu 0.0000 3.5517 5.1904
Tl 2.2947 6.7822 0.5910
Tl 0.0000 2.0665 1.7829
Tl 2.2947 3.2457 10.1949
Tl 0.0000 5.6031 9.0030
Zn 2.2947 2.2556 6.9070
Zn 2.2947 5.7921 3.8789
Sb 0.0000 1.7343 8.2732
Sb 2.2947 1.6148 4.1045
Sb 0.0000 5.2709 2.5127
Sb 2.2947 5.1514 6.6814
```

Calculated values
SG: No. 26
Crystal system: orthorhombic
Formation energy (no corrections): -0.23 eV per atom
V: 175.1 Å³/f.u.

=====

VASP calculation (GGA-PBE) on an optimized crystal structure of KLi2SnF8.

Geometry as extended XYZ:
```
12
Lattice="4.8096 0.0487 -0.0610 0.0764 4.7703 0.0937 -0.0829 0.1655 7.6640" Properties=species:S:1:pos:R:3 pbc="T T T"
K -0.0414 0.0828 3.8320
Li 2.4225 2.6483 6.1877
Li 2.3806 2.3362 1.5090
Sn 0.0000 0.0000 0.0000
F 0.9933 3.7568 1.5605
F 3.3839 3.4735 0.0570
F 3.9359 1.0846 1.4038
F 3.8098 1.2278 6.1362
F 1.4191 1.5110 7.6396
F 0.8671 3.8999 6.2929
F 2.6958 3.2980 4.3413
F 2.1073 1.6865 3.3554
```

Calculated values
SG: No. 2
Crystal system: triclinic
Formation energy (no corrections): -2.52 eV per atom
V: 175.7 Å³/f.u.